#i
# Si3Ag

A relaxed structure of Si3Ag (PBE-GGA, Alexandria).

Unit cell a=5.162 b=5.162 c=5.162 alpha=90.00 beta=90.00 gamma=90.00
Positions (direct):
Si: 0.249 0.751 0.750
Si: 0.251 0.251 0.250
Si: 0.251 0.251 0.750
Si: 0.749 0.749 0.250
Si: 0.749 0.749 0.750
Si: 0.751 0.249 0.250
Ag: 0.249 0.751 0.250
Ag: 0.751 0.249 0.750

V, A^3/atom: 17.19

#ii
# Si3Ag

A relaxed structure of Si3Ag (PBE-GGA, Alexandria).

Unit cell a=2.622 b=4.613 c=5.374 alpha=90.00 beta=90.00 gamma=90.00
Positions (direct):
Si: 0.000 0.000 0.000
Si: 0.000 0.500 0.245
Si: 0.000 0.500 0.755
Ag: 0.500 0.000 0.500

V, A^3/atom: 16.25

Of them, the most stable is #ii and the least stable is #i.

#i
# SiAg2

A relaxed structure of SiAg2 (PBE-GGA, Alexandria).

Unit cell a=4.458 b=4.458 c=2.882 alpha=90.00 beta=90.00 gamma=90.00
Positions (direct):
Si: 0.000 0.000 0.000
Ag: 0.000 0.500 0.500
Ag: 0.500 0.000 0.500

V, A^3/atom: 19.09

#ii
# SiAg2

A relaxed structure of SiAg2 (PBE-GGA, Alexandria).

Unit cell a=4.295 b=4.295 c=4.295 alpha=60.00 beta=60.00 gamma=60.00
Positions (direct):
Si: 0.000 0.000 0.000
Ag: 0.250 0.250 0.250
Ag: 0.750 0.750 0.750

V, A^3/atom: 18.68

#iii
# SiAg2

A relaxed structure of SiAg2 (PBE-GGA, Alexandria).

Unit cell a=5.423 b=5.423 c=6.731 alpha=98.23 beta=98.23 gamma=31.85
Positions (direct):
Si: 0.000 0.000 0.000
Si: 0.713 0.713 0.410
Ag: 0.286 0.286 0.115
Ag: 0.363 0.363 0.696
Ag: 0.637 0.637 0.771
Ag: 0.994 0.994 0.392

V, A^3/atom: 17.22

#iv
# SiAg2

A relaxed structure of SiAg2 (PBE-GGA, Alexandria).

Unit cell a=5.442 b=5.442 c=5.442 alpha=60.00 beta=60.00 gamma=60.00
Positions (direct):
Si: 0.125 0.125 0.125
Si: 0.875 0.875 0.875
Ag: 0.000 0.500 0.500
Ag: 0.500 0.000 0.500
Ag: 0.500 0.500 0.000
Ag: 0.500 0.500 0.500

V, A^3/atom: 18.99

Of them, the most stable is #i and the least stable is #iv.

#i
# SiAg2

A relaxed structure of SiAg2 (PBE-GGA, Alexandria).

Unit cell a=2.949 b=2.949 c=6.715 alpha=90.00 beta=90.00 gamma=120.00
Positions (direct):
Si: 0.000 0.000 0.000
Ag: 0.333 0.667 0.320
Ag: 0.667 0.333 0.680

V, A^3/atom: 16.86

#ii
# SiAg2

A relaxed structure of SiAg2 (PBE-GGA, Alexandria).

Unit cell a=5.145 b=5.145 c=4.626 alpha=90.00 beta=90.00 gamma=56.42
Positions (direct):
Si: 0.166 0.834 0.750
Si: 0.834 0.166 0.250
Ag: 0.153 0.526 0.250
Ag: 0.474 0.847 0.250
Ag: 0.526 0.153 0.750
Ag: 0.847 0.474 0.750

V, A^3/atom: 17.00

Of them, the most stable is #i and the least stable is #ii.

#i
# SiAg2

A relaxed structure of SiAg2 (PBE-GGA, Alexandria).

Unit cell a=6.706 b=6.706 c=4.088 alpha=90.00 beta=90.00 gamma=120.00
Positions (direct):
Si: 0.000 0.000 0.000
Si: 0.333 0.667 0.500
Si: 0.667 0.333 0.500
Ag: 0.000 0.252 0.500
Ag: 0.000 0.586 0.000
Ag: 0.252 0.000 0.500
Ag: 0.414 0.414 0.000
Ag: 0.586 0.000 0.000
Ag: 0.748 0.748 0.500

V, A^3/atom: 17.69

#ii
# SiAg2

A relaxed structure of SiAg2 (PBE-GGA, Alexandria).

Unit cell a=5.242 b=5.242 c=5.242 alpha=102.25 beta=102.25 gamma=125.15
Positions (direct):
Si: 0.250 0.250 0.000
Si: 0.750 0.750 0.000
Ag: 0.154 0.654 0.809
Ag: 0.346 0.154 0.500
Ag: 0.654 0.846 0.500
Ag: 0.846 0.346 0.191

V, A^3/atom: 17.42

#iii
# SiAg2

A relaxed structure of SiAg2 (PBE-GGA, Alexandria).

Unit cell a=6.603 b=6.603 c=6.603 alpha=154.98 beta=154.98 gamma=35.67
Positions (direct):
Si: 0.000 0.000 0.000
Ag: 0.338 0.338 0.000
Ag: 0.662 0.662 0.000

V, A^3/atom: 17.14

Of them, the most stable is #iii and the least stable is #i.

#i
# SiAg2

A relaxed structure of SiAg2 (PBE-GGA, Alexandria).

Unit cell a=4.543 b=4.543 c=5.824 alpha=90.00 beta=90.00 gamma=120.00
Positions (direct):
Si: 0.333 0.667 0.250
Si: 0.667 0.333 0.750
Ag: 0.000 0.000 0.000
Ag: 0.000 0.000 0.500
Ag: 0.333 0.667 0.750
Ag: 0.667 0.333 0.250

V, A^3/atom: 17.35

#ii
# SiAg2

A relaxed structure of SiAg2 (PBE-GGA, Alexandria).

Unit cell a=5.795 b=5.795 c=7.218 alpha=90.00 beta=90.00 gamma=101.88
Positions (direct):
Si: 0.218 0.782 0.590
Si: 0.218 0.782 0.910
Si: 0.782 0.218 0.090
Si: 0.782 0.218 0.410
Ag: 0.195 0.208 0.250
Ag: 0.208 0.195 0.750
Ag: 0.265 0.735 0.250
Ag: 0.500 0.500 0.000
Ag: 0.500 0.500 0.500
Ag: 0.735 0.265 0.750
Ag: 0.792 0.805 0.250
Ag: 0.805 0.792 0.750

V, A^3/atom: 19.77

#iii
# SiAg2

A relaxed structure of SiAg2 (PBE-GGA, Alexandria).

Unit cell a=13.555 b=13.555 c=13.555 alpha=168.12 beta=168.12 gamma=16.84
Positions (direct):
Si: 0.375 0.625 0.750
Si: 0.625 0.375 0.250
Ag: 0.047 0.797 0.250
Ag: 0.203 0.953 0.250
Ag: 0.797 0.047 0.750
Ag: 0.953 0.203 0.750

V, A^3/atom: 17.60

Of them, the most stable is #i and the least stable is #ii.

#i
# SiAg2

A relaxed structure of SiAg2 (PBE-GGA, Alexandria).

Unit cell a=5.725 b=5.725 c=6.569 alpha=105.24 beta=105.24 gamma=29.65
Positions (direct):
Si: 0.200 0.200 0.135
Si: 0.800 0.800 0.865
Ag: 0.139 0.139 0.514
Ag: 0.458 0.458 0.183
Ag: 0.542 0.542 0.817
Ag: 0.861 0.861 0.486

V, A^3/atom: 17.08

#ii
# SiAg2

A relaxed structure of SiAg2 (PBE-GGA, Alexandria).

Unit cell a=5.418 b=4.500 c=8.443 alpha=90.00 beta=90.00 gamma=90.00
Positions (direct):
Si: 0.209 0.250 0.178
Si: 0.291 0.750 0.678
Si: 0.709 0.250 0.322
Si: 0.791 0.750 0.822
Ag: 0.128 0.250 0.834
Ag: 0.164 0.250 0.496
Ag: 0.336 0.750 0.996
Ag: 0.372 0.750 0.334
Ag: 0.628 0.250 0.666
Ag: 0.664 0.250 0.004
Ag: 0.836 0.750 0.504
Ag: 0.872 0.750 0.166

V, A^3/atom: 17.16

Of them, the most stable is #i and the least stable is #ii.

#i
# SiAg4

A relaxed structure of SiAg4 (PBE-GGA, Alexandria).

Unit cell a=5.566 b=5.566 c=5.821 alpha=90.00 beta=90.00 gamma=90.00
Positions (direct):
Si: 0.000 0.000 0.000
Si: 0.500 0.500 0.500
Ag: 0.151 0.252 0.340
Ag: 0.248 0.349 0.840
Ag: 0.252 0.849 0.660
Ag: 0.349 0.752 0.160
Ag: 0.651 0.248 0.160
Ag: 0.748 0.151 0.660
Ag: 0.752 0.651 0.840
Ag: 0.849 0.748 0.340

V, A^3/atom: 18.04

#ii
# SiAg4

A relaxed structure of SiAg4 (PBE-GGA, Alexandria).

Unit cell a=4.772 b=4.772 c=4.772 alpha=90.00 beta=90.00 gamma=90.00
Positions (direct):
Si: 0.000 0.000 0.000
Ag: 0.000 0.000 0.500
Ag: 0.000 0.500 0.000
Ag: 0.500 0.000 0.000
Ag: 0.500 0.500 0.500

V, A^3/atom: 21.74

Of them, the most stable is #i and the least stable is #ii.

#i
# SiAg4

A relaxed structure of SiAg4 (PBE-GGA, Alexandria).

Unit cell a=4.975 b=4.975 c=4.975 alpha=100.74 beta=100.74 gamma=128.86
Positions (direct):
Si: 0.000 0.000 0.000
Ag: 0.197 0.386 0.583
Ag: 0.386 0.803 0.189
Ag: 0.614 0.197 0.811
Ag: 0.803 0.614 0.417

V, A^3/atom: 17.29

#ii
# SiAg4

A relaxed structure of SiAg4 (PBE-GGA, Alexandria).

Unit cell a=7.571 b=7.571 c=7.571 alpha=151.31 beta=151.31 gamma=41.02
Positions (direct):
Si: 0.000 0.000 0.000
Ag: 0.250 0.750 0.500
Ag: 0.405 0.405 0.000
Ag: 0.595 0.595 0.000
Ag: 0.750 0.250 0.500

V, A^3/atom: 19.96

Of them, the most stable is #i and the least stable is #ii.

#i
# Si5Ag

A relaxed structure of Si5Ag (PBE-GGA, Alexandria).

Unit cell a=5.082 b=5.668 c=5.668 alpha=38.31 beta=90.00 gamma=90.00
Positions (direct):
Si: 0.000 0.000 0.000
Si: 0.000 0.314 0.314
Si: 0.000 0.657 0.657
Si: 0.500 0.335 0.335
Si: 0.500 0.976 0.976
Ag: 0.500 0.655 0.655

V, A^3/atom: 16.87

#ii
# Si5Ag

A relaxed structure of Si5Ag (PBE-GGA, Alexandria).

Unit cell a=4.855 b=4.855 c=4.579 alpha=90.00 beta=90.00 gamma=120.00
Positions (direct):
Si: 0.000 0.651 0.000
Si: 0.333 0.667 0.500
Si: 0.349 0.349 0.000
Si: 0.651 0.000 0.000
Si: 0.667 0.333 0.500
Ag: 0.000 0.000 0.500

V, A^3/atom: 15.58

Of them, the most stable is #i and the least stable is #ii.

#i
# Si3Ag2

A relaxed structure of Si3Ag2 (PBE-GGA, Alexandria).

Unit cell a=10.310 b=10.310 c=10.310 alpha=17.10 beta=17.10 gamma=17.10
Positions (direct):
Si: 0.000 0.000 0.000
Si: 0.195 0.195 0.195
Si: 0.805 0.805 0.805
Ag: 0.403 0.403 0.403
Ag: 0.597 0.597 0.597

V, A^3/atom: 16.52

#ii
# Si3Ag2

A relaxed structure of Si3Ag2 (PBE-GGA, Alexandria).

Unit cell a=3.714 b=3.714 c=7.866 alpha=90.00 beta=90.00 gamma=120.00
Positions (direct):
Si: 0.000 0.000 0.000
Si: 0.333 0.667 0.441
Si: 0.667 0.333 0.559
Ag: 0.333 0.667 0.797
Ag: 0.667 0.333 0.203

V, A^3/atom: 18.79

Of them, the most stable is #i and the least stable is #ii.

#i
# Si4Ag5

A relaxed structure of Si4Ag5 (PBE-GGA, Alexandria).

Unit cell a=7.944 b=7.944 c=5.722 alpha=90.00 beta=90.00 gamma=120.00
Positions (direct):
Si: 0.000 0.000 0.000
Si: 0.000 0.000 0.500
Si: 0.000 0.274 0.250
Si: 0.000 0.726 0.750
Si: 0.274 0.000 0.250
Si: 0.274 0.274 0.750
Si: 0.726 0.000 0.750
Si: 0.726 0.726 0.250
Ag: 0.000 0.392 0.750
Ag: 0.000 0.608 0.250
Ag: 0.333 0.667 0.000
Ag: 0.333 0.667 0.500
Ag: 0.392 0.000 0.750
Ag: 0.392 0.392 0.250
Ag: 0.608 0.000 0.250
Ag: 0.608 0.608 0.750
Ag: 0.667 0.333 0.000
Ag: 0.667 0.333 0.500

V, A^3/atom: 17.38

#ii
# Si4Ag5

A relaxed structure of Si4Ag5 (PBE-GGA, Alexandria).

Unit cell a=7.218 b=7.218 c=7.218 alpha=92.59 beta=92.59 gamma=155.47
Positions (direct):
Si: 0.000 0.347 0.347
Si: 0.000 0.653 0.653
Si: 0.347 0.000 0.347
Si: 0.653 0.000 0.653
Ag: 0.000 0.000 0.000
Ag: 0.334 0.334 0.668
Ag: 0.334 0.666 0.000
Ag: 0.666 0.334 0.000
Ag: 0.666 0.666 0.332

V, A^3/atom: 16.95

Of them, the most stable is #ii and the least stable is #i.